## PuUV4 (GGA-PBE)

Data for PuUV4 after structural relaxation.

Geometry as CIF:
```
data_PuUV4
_cell_length_a 7.3437
_cell_length_b 7.3437
_cell_length_c 7.3437
_cell_angle_alpha 90.00
_cell_angle_beta 90.00
_cell_angle_gamma 90.00
_space_group_name_H-M_alt 'F -4 3 m'
_space_group_IT_number 216
_space_group_name_Hall 'F -4 2 3'
loop_
_atom_site_label
_atom_site_fract_x
_atom_site_fract_y
_atom_site_fract_z
Pu1 0.0000 0.0000 0.0000
U1 0.2500 0.2500 0.2500
V1 0.1244 0.1244 0.6244
```

Results
crystal system	cubic
energy relative to the elements	1.3	eV per formula unit
V	16.5	Å³/atom
N(E_F)	10.58	states/eV/f.u.